(1)
This record from the Alexandria database describes crystalline RbP at its relaxed geometry. The functional is PBE.

Geometry as extended XYZ:
```
32
Lattice="-9.783 3.645 3.054 -3.548 -14.320 5.728 2.253 1.576 5.335" Properties=species:S:1:pos:R:3 pbc="T T T"
Rb -6.505 2.424 2.031
Rb -3.278 1.221 1.023
Rb -7.821 -8.213 7.417
Rb -11.048 -7.010 8.424
Rb -7.153 -3.948 7.562
Rb -3.925 -5.150 6.555
Rb -4.921 -0.265 7.220
Rb -8.148 0.937 8.228
Rb -0.487 1.389 3.171
Rb -7.043 3.832 5.218
Rb -1.803 -9.248 8.557
Rb -5.031 -8.045 9.565
Rb -3.388 -6.559 3.368
Rb -9.943 -4.116 5.414
Rb -1.156 -2.876 3.026
Rb -4.383 -1.673 4.033
P -3.315 -13.379 5.352
P -0.233 -0.941 0.376
P -4.776 -10.375 6.770
P -4.310 -8.493 6.017
P -0.414 -5.431 5.155
P -0.881 -7.313 5.908
P -1.876 -2.427 6.573
P -1.410 -0.546 5.821
P -7.080 -10.768 9.546
P -3.998 1.670 4.571
P -8.541 -7.765 10.964
P -8.075 -5.883 10.212
P -6.432 -4.396 4.015
P -6.898 -6.278 4.767
P -7.894 -1.393 5.433
P -7.428 0.489 4.680
```

Values from the calculation:
DFT total energy   -108.6 eV for the cell shown
Space group   Fddd (70)
Size of the total moment   0.00 μB/atom
E_form   -0.2047 eV/atom

***

(2)
This record from the Alexandria database describes crystalline Rb3P11 at its relaxed geometry. The functional is PBE.

Geometry as extended XYZ:
```
56
Lattice="-10.683 -2.909 0.688 0.629 -4.688 -10.061 3.781 -12.457 6.041" Properties=species:S:1:pos:R:3 pbc="T T T"
P 2.479 -10.128 -4.339
P -1.519 -14.701 3.684
P 1.932 -7.018 0.320
P -4.753 -5.354 -7.016
P -4.133 -12.636 2.519
P -5.586 -15.133 -2.551
P -0.471 -11.607 2.347
P 1.427 -13.192 -2.938
P -2.139 -7.420 -5.851
P -0.687 -4.922 -0.781
P -5.801 -8.448 -5.680
P -7.699 -6.863 -0.394
P -3.208 -11.870 4.443
P -6.739 -14.202 -0.834
P -1.191 -13.049 0.751
P 2.375 -13.447 -4.983
P -3.065 -8.185 -7.775
P 0.467 -5.853 -2.498
P -5.081 -7.007 -4.084
P -8.647 -6.608 1.650
P -2.675 -14.251 1.894
P -6.894 -14.639 -4.332
P -1.127 -12.636 4.255
P 1.932 -11.042 -2.439
P -3.597 -5.804 -5.226
P 0.621 -5.416 1.000
P -5.146 -7.419 -7.587
P -8.204 -9.013 -0.893
P -3.631 -10.963 1.071
P -6.017 -17.339 -2.249
P -1.990 -9.932 2.171
P 2.874 -14.334 -1.616
P -2.641 -9.092 -4.404
P -0.256 -2.716 -1.083
P -4.283 -10.124 -5.503
P -9.146 -5.721 -1.716
P -2.488 -11.878 -0.534
P 3.739 -15.120 -4.777
P -2.912 -9.745 4.130
P -7.103 -15.824 0.558
P -3.785 -8.177 -2.798
P -10.011 -4.935 1.444
P -3.361 -10.310 -7.462
P 0.830 -4.231 -3.890
Rb 1.543 -7.045 -5.835
Rb -4.365 -5.327 -0.862
Rb 2.867 -10.101 1.815
Rb -1.908 -14.728 -2.470
Rb -4.397 -14.910 5.845
Rb -5.556 -11.116 -2.139
Rb 1.534 -15.070 1.804
Rb -0.344 -11.472 -6.133
Rb -1.876 -5.145 -9.177
Rb -0.716 -8.939 -1.194
Rb -7.806 -4.985 -5.136
Rb -5.928 -8.584 2.801
```

Values from the calculation:
DFT total energy   -267.7 eV for the cell shown
Space group   Pbcn (60)
Size of the total moment   0.00 μB/atom
E_form   -0.3227 eV/atom

***

Q: Number 1 is which compound?
A: RbP